Entry from Alexandria via LeMat-Bulk: crystalline KY4Ru at its relaxed geometry (PBE).

The structure in POSCAR format:
```
KY4Ru
1.0
0.0000 4.5634 4.5634
4.5634 0.0000 4.5634
4.5634 4.5634 0.0000
K Y Ru
1 4 1
direct
0.0000 0.0000 0.0000
0.3774 0.3774 0.3774
0.3774 0.3774 0.8679
0.3774 0.8679 0.3774
0.8679 0.3774 0.3774
0.7500 0.7500 0.7500
```

Values from the calculation:
Total moment ... 2.04 μB/cell
Symmetry ... F-43m, No. 216
Calculated formation energy ... 0.96 eV per atom
DOS at the Fermi energy ... 1.470 states/eV per atom